Material: FeSnCl4
Method: DFT, PBE
State: optimized geometry

Unit cell a=3.8592 b=6.0518 c=6.4702 alpha=90.82 beta=90.06 gamma=90.07
Element x y z (fractional)
Sn (0.1715, 0.6114, 0.4599)
Cl (0.6717, 0.8844, 0.2696)
Cl (0.1707, 0.8918, 0.8175)
Cl (0.6711, 0.3384, 0.6502)
Cl (0.1721, 0.3310, 0.1023)
Fe (0.6715, 0.1114, 0.9599)

The offset from the most stable computed form is 0.007 eV per atom. The value obtained for the density is 3.477 g/cm³. Its space group is P-1 (2).


Material: Fe2SnCl6
Method: DFT, PBE
State: optimized geometry

Unit cell a=6.3897 b=6.7001 c=6.9050 alpha=61.36 beta=90.24 gamma=74.49
Element x y z (fractional)
Cl (0.2514, 0.1752, 0.7624)
Fe (0.4659, 0.7563, 0.9244)
Fe (0.4752, 0.2912, 0.9341)
Cl (0.1897, 0.6361, 0.8231)
Cl (0.7302, 0.8853, 0.0773)
Cl (0.6138, 0.8762, 0.5767)
Sn (0.6848, 0.5195, 0.5108)
Cl (0.3119, 0.6748, 0.2755)
Cl (0.7350, 0.3631, 0.1015)

The offset from the most stable computed form is 0.042 eV per atom. The value obtained for the density is 2.980 g/cm³. Its space group is P1 (1).


Material: Fe2SnCl6
Method: DFT, PBE
State: optimized geometry

Unit cell a=5.9660 b=6.1067 c=7.4707 alpha=75.55 beta=81.81 gamma=60.72
Element x y z (fractional)
Cl (0.9644, 0.4470, 0.1051)
Fe (0.9665, 0.1500, 0.3783)
Cl (0.6125, 0.1140, 0.2933)
Cl (0.7719, 0.4610, 0.5664)
Sn (0.9824, 0.1095, 0.9232)
Cl (0.4133, 0.0639, 0.7510)
Cl (0.0887, 0.7968, 0.6466)
Cl (0.2921, 0.8012, 0.2242)
Fe (0.4157, 0.8971, 0.4920)

The offset from the most stable computed form is 0.016 eV per atom. The value obtained for the density is 3.202 g/cm³. Its space group is P1 (1).


Material: Fe2SnCl6
Method: DFT, PBE
State: optimized geometry

Unit cell a=6.0445 b=6.7077 c=6.7755 alpha=97.25 beta=118.16 gamma=84.47
Element x y z (fractional)
Cl (0.7824, 0.7996, 0.7553)
Cl (0.2981, 0.4168, 0.6177)
Cl (0.9599, 0.2795, 0.9072)
Sn (0.5268, 0.0930, 0.4796)
Fe (0.3373, 0.2223, 0.8778)
Cl (0.6507, 0.3625, 0.2075)
Cl (0.0745, 0.9367, 0.3784)
Cl (0.4177, 0.9005, 0.0025)
Fe (0.7765, 0.0445, 0.0293)

The offset from the most stable computed form is 0.035 eV per atom. The value obtained for the density is 3.065 g/cm³. Its space group is P1 (1).


Material: FeSnCl4
Method: DFT, PBE
State: optimized geometry

Unit cell a=5.5309 b=5.7990 c=6.0205 alpha=69.74 beta=83.72 gamma=75.06
Element x y z (fractional)
Cl (0.6834, 0.5567, 0.7887)
Cl (0.7632, 0.1500, 0.3226)
Sn (0.3618, 0.4258, 0.1080)
Fe (0.0304, 0.2055, 0.9848)
Cl (0.3167, 0.7993, 0.2377)
Cl (0.2356, 0.1786, 0.6585)

The offset from the most stable computed form is 0.070 eV per atom. The value obtained for the density is 3.002 g/cm³. Its space group is P1 (1).


Material: TaFeCl6
Method: DFT, PBE
State: optimized geometry

Unit cell a=6.0319 b=6.0319 c=12.2655 alpha=90.05 beta=90.05 gamma=122.12
Element x y z (fractional)
Ta (0.6541, 0.3459, 0.7500)
Cl (0.6621, 0.0121, 0.6439)
Cl (0.0087, 0.3393, 0.3728)
Cl (0.3379, 0.9879, 0.3561)
Ta (0.3459, 0.6541, 0.2500)
Cl (0.6685, 0.6607, 0.8706)
Fe (0.9748, 0.0252, 0.2500)
Cl (0.9913, 0.6607, 0.6272)
Cl (0.9879, 0.3379, 0.8561)
Fe (0.0252, 0.9748, 0.7500)
Cl (0.6607, 0.6685, 0.3706)
Cl (0.3393, 0.0087, 0.8728)
Cl (0.3393, 0.3315, 0.6294)
Cl (0.6607, 0.9913, 0.1272)
Cl (0.0121, 0.6621, 0.1439)
Cl (0.3315, 0.3393, 0.1294)

The value obtained for the density is 3.950 g/cm³. The calculation puts the calculated total energy at -79.359 eV for the cell shown. Its space group is C2/c (15).


Material: TlFeCl3
Method: DFT, PBE
State: optimized geometry

Unit cell a=5.2088 b=7.5692 c=7.9054 alpha=72.52 beta=86.97 gamma=87.44
Element x y z (fractional)
Cl (0.4989, 0.7131, 0.8060)
Fe (0.2548, 0.9781, 0.7103)
Tl (0.4875, 0.7930, 0.1849)
Cl (0.0369, 0.9680, 0.4691)
Cl (0.4785, 0.2496, 0.6266)
Cl (0.0164, 0.5046, 0.2897)
Cl (0.5088, 0.2281, 0.1436)
Fe (0.2605, 0.2396, 0.3854)
Tl (0.0277, 0.4251, 0.9106)
Cl (0.0065, 0.9898, 0.9520)

The value obtained for the density is 4.103 g/cm³. The calculation puts the calculated total energy at -41.061 eV for the cell shown. Its space group is P-1 (2).


Material: TlFe2Cl6
Method: DFT, PBE
State: optimized geometry

Unit cell a=9.5456 b=9.5456 c=6.3384 alpha=95.75 beta=95.75 gamma=90.88
Element x y z (fractional)
Cl (0.2089, 0.0495, 0.2038)
Cl (0.5807, 0.7185, 0.0882)
Fe (0.7796, 0.6278, 0.2546)
Tl (0.8699, 0.1301, 0.2500)
Fe (0.3722, 0.2204, 0.2454)
Cl (0.7911, 0.9505, 0.7962)
Fe (0.6278, 0.7796, 0.7546)
Cl (0.7185, 0.5807, 0.5882)
Fe (0.2204, 0.3722, 0.7454)
Cl (0.8277, 0.4261, 0.0877)
Tl (0.1301, 0.8699, 0.7500)
Cl (0.4261, 0.8277, 0.5877)
Cl (0.5739, 0.1723, 0.4123)
Cl (0.9505, 0.7911, 0.2962)
Cl (0.4193, 0.2815, 0.9118)
Cl (0.2815, 0.4193, 0.4118)
Cl (0.0495, 0.2089, 0.7038)
Cl (0.1723, 0.5739, 0.9123)

The value obtained for the density is 3.073 g/cm³. The calculation puts the calculated total energy at -75.093 eV for the cell shown. Its space group is C2/c (15).


Material: YTmFe2Cl2
Method: DFT, PBE
State: optimized geometry

Unit cell a=3.7772 b=3.7772 c=11.0186 alpha=90.00 beta=90.00 gamma=120.00
Element x y z (fractional)
Cl (0.3333, 0.6667, 0.1636)
Y (0.0000, 0.0000, 0.6813)
Cl (0.6667, 0.3333, 0.8383)
Tm (0.0000, 0.0000, 0.3198)
Fe (0.3333, 0.6667, 0.5082)
Fe (0.6667, 0.3333, 0.4888)

The value obtained for the density is 5.372 g/cm³. The calculation puts the calculated total energy at -37.941 eV for the cell shown. Its space group is P3m1 (156).


Material: FeW2Cl10
Method: DFT, PBE
State: optimized geometry

Unit cell a=6.1746 b=8.9520 c=12.0941 alpha=93.38 beta=99.84 gamma=69.82
Element x y z (fractional)
Cl (0.7803, 0.2008, 0.6127)
Cl (0.7316, 0.8201, 0.8652)
Cl (0.5990, 0.9871, 0.3586)
Cl (0.4004, 0.4247, 0.3598)
W (0.7290, 0.0422, 0.7500)
Cl (0.9030, 0.3923, 0.8629)
Cl (0.0517, 0.1799, 0.3652)
Cl (0.9483, 0.8201, 0.6348)
Cl (0.5996, 0.5753, 0.6402)
Cl (0.9139, 0.9871, 0.1414)
Fe (0.0567, 0.3866, 0.2500)
Cl (0.2047, 0.3923, 0.6371)
Cl (0.0861, 0.0129, 0.8586)
Cl (0.4010, 0.0129, 0.6414)
Fe (0.9433, 0.6134, 0.7500)
Cl (0.4811, 0.7992, 0.1127)
Cl (0.6749, 0.4247, 0.1402)
Cl (0.2684, 0.1799, 0.1348)
W (0.2710, 0.9578, 0.2500)
Cl (0.3251, 0.5753, 0.8598)
Cl (0.2197, 0.7992, 0.3873)
Cl (0.0970, 0.6077, 0.1371)
Cl (0.7953, 0.6077, 0.3629)
Cl (0.5189, 0.2008, 0.8873)
W (0.5708, 0.3585, 0.7500)
W (0.4292, 0.6415, 0.2500)

The value obtained for the density is 4.180 g/cm³. The calculation puts the calculated total energy at -126.079 eV for the cell shown. Its space group is C2/c (15).


Material: FeW6Cl14
Method: DFT, PBE
State: optimized geometry

Unit cell a=12.5084 b=12.5084 c=12.5084 alpha=90.00 beta=90.00 gamma=90.00
Element x y z (fractional)
Cl (0.3925, 0.6075, 0.6075)
Cl (0.0845, 0.1775, 0.6953)
W (0.2749, 0.2294, 0.3953)
Cl (0.1953, 0.4155, 0.6775)
W (0.7749, 0.2706, 0.8953)
W (0.6047, 0.7251, 0.2294)
Cl (0.8047, 0.5845, 0.6775)
W (0.7294, 0.8953, 0.2251)
Cl (0.8225, 0.3047, 0.0845)
Cl (0.3434, 0.5691, 0.8850)
Cl (0.9309, 0.6150, 0.1566)
W (0.2294, 0.6047, 0.7251)
Cl (0.1075, 0.1075, 0.1075)
Cl (0.6953, 0.0845, 0.1775)
Cl (0.0845, 0.8225, 0.3047)
Cl (0.6150, 0.1566, 0.9309)
W (0.2251, 0.7294, 0.8953)
W (0.2706, 0.1047, 0.2251)
Cl (0.5691, 0.1150, 0.6566)
Cl (0.4155, 0.3225, 0.8047)
Cl (0.0691, 0.3850, 0.1566)
Cl (0.8925, 0.1075, 0.8925)
Cl (0.5691, 0.8850, 0.3434)
Cl (0.6566, 0.4309, 0.8850)
W (0.2749, 0.7706, 0.6047)
W (0.7749, 0.7294, 0.1047)
W (0.2706, 0.8953, 0.7749)
W (0.7251, 0.7706, 0.3953)
Cl (0.6075, 0.6075, 0.3925)
W (0.7706, 0.6047, 0.2749)
Cl (0.9155, 0.1775, 0.3047)
Cl (0.6075, 0.3925, 0.6075)
Cl (0.6566, 0.5691, 0.1150)
Fe (0.2500, 0.2500, 0.7500)
Cl (0.1566, 0.9309, 0.6150)
Cl (0.8434, 0.0691, 0.6150)
Cl (0.0691, 0.6150, 0.8434)
Cl (0.8434, 0.9309, 0.3850)
W (0.2251, 0.2706, 0.1047)
Cl (0.6775, 0.1953, 0.4155)
W (0.2294, 0.3953, 0.2749)
Cl (0.3225, 0.1953, 0.5845)
Cl (0.4155, 0.6775, 0.1953)
W (0.7251, 0.2294, 0.6047)
Fe (0.7500, 0.2500, 0.2500)
W (0.8953, 0.7749, 0.2706)
Cl (0.3225, 0.8047, 0.4155)
Fe (0.7500, 0.7500, 0.7500)
Cl (0.1566, 0.0691, 0.3850)
Cl (0.9309, 0.3850, 0.8434)
Fe (0.2500, 0.7500, 0.2500)
Cl (0.6953, 0.9155, 0.8225)
Cl (0.5845, 0.6775, 0.8047)
W (0.8953, 0.2251, 0.7294)
Cl (0.5845, 0.3225, 0.1953)
Cl (0.3047, 0.0845, 0.8225)
Cl (0.1075, 0.8925, 0.8925)
Cl (0.3850, 0.1566, 0.0691)
Cl (0.3047, 0.9155, 0.1775)
Cl (0.1775, 0.6953, 0.0845)
Cl (0.9155, 0.8225, 0.6953)
Cl (0.8850, 0.6566, 0.4309)
Cl (0.1150, 0.6566, 0.5691)
Cl (0.6150, 0.8434, 0.0691)
Cl (0.1150, 0.3434, 0.4309)
W (0.1047, 0.2251, 0.2706)
Cl (0.3850, 0.8434, 0.9309)
Cl (0.8850, 0.3434, 0.5691)
W (0.7706, 0.3953, 0.7251)
W (0.3953, 0.2749, 0.2294)
Cl (0.3434, 0.4309, 0.1150)
W (0.7294, 0.1047, 0.7749)
Cl (0.8225, 0.6953, 0.9155)
Cl (0.8925, 0.8925, 0.1075)
Cl (0.1953, 0.5845, 0.3225)
Cl (0.4309, 0.1150, 0.3434)
Cl (0.6775, 0.8047, 0.5845)
W (0.6047, 0.2749, 0.7706)
Cl (0.4309, 0.8850, 0.6566)
Cl (0.8047, 0.4155, 0.3225)
Cl (0.1775, 0.3047, 0.9155)
W (0.1047, 0.7749, 0.7294)
Cl (0.3925, 0.3925, 0.3925)
W (0.3953, 0.7251, 0.7706)

The value obtained for the density is 5.618 g/cm³. The calculation puts the calculated total energy at -503.305 eV for the cell shown. Its space group is Pn-3 (201).


Material: FeWCl5
Method: DFT, PBE
State: optimized geometry

Unit cell a=8.9019 b=8.9019 c=12.2756 alpha=93.37 beta=93.37 gamma=139.37
Element x y z (fractional)
Cl (0.3888, 0.9014, 0.1370)
W (0.2767, 0.7233, 0.7500)
Cl (0.9014, 0.3888, 0.6370)
Cl (0.6666, 0.5754, 0.6383)
Cl (0.5754, 0.6666, 0.1383)
Cl (0.0428, 0.7168, 0.8620)
W (0.4321, 0.5679, 0.7500)
Fe (0.0515, 0.9485, 0.7500)
W (0.7233, 0.2767, 0.2500)
Cl (0.5118, 0.2206, 0.3857)
Fe (0.3430, 0.6570, 0.2500)
Cl (0.3334, 0.4246, 0.3617)
Cl (0.0984, 0.1931, 0.6356)
Cl (0.7794, 0.4882, 0.1143)
Cl (0.2206, 0.5118, 0.8857)
Fe (0.9485, 0.0515, 0.2500)
Cl (0.6112, 0.0986, 0.8630)
Cl (0.9016, 0.8069, 0.3644)
Cl (0.1931, 0.0984, 0.1356)
Cl (0.9572, 0.2832, 0.1380)
Cl (0.4882, 0.7794, 0.6143)
Cl (0.8069, 0.9016, 0.8644)
Cl (0.4246, 0.3334, 0.8617)
Cl (0.2832, 0.9572, 0.6380)
Cl (0.7168, 0.0428, 0.3620)
Cl (0.0986, 0.6112, 0.3630)
W (0.5679, 0.4321, 0.2500)
Fe (0.6570, 0.3430, 0.7500)

The value obtained for the density is 4.436 g/cm³. The calculation puts the calculated total energy at -141.661 eV for the cell shown. Its space group is C2/c (15).